No. 1
First-principles (PBE-GGA) data for LaNbSN2 after structural relaxation, as listed in the Alexandria database.

## Properties
E   -8.11 eV/atom
E above lowest polymorph   0.000 eV per atom
E_form (uncorrected)   -4.77 eV/f.u.

Cell lengths 4.140, 4.140, 4.858 Å; angles 90.00, 90.00, 90.00 degrees
Positions (direct):
Nb  0.000  0.000  0.000
N  0.000  0.500  0.000
N  0.500  0.000  0.000
S  0.000  0.000  0.500
La  0.500  0.500  0.500

No. 2
First-principles (PBE-GGA) data for LaNbS2N after structural relaxation, as listed in the Alexandria database.

## Properties
E   -5.77 eV/atom
E above lowest polymorph   1.749 eV per atom
E_form (uncorrected)   2.75 eV/f.u.

Cell lengths 5.466, 5.466, 4.088 Å; angles 90.00, 90.00, 90.00 degrees
Last column: magnetic moment on the atom in μB.
Positions (direct):
Nb  0.500  0.500  0.500  2.34
N  0.000  0.000  0.500  -0.27
S  0.000  0.500  0.000  -0.20
S  0.500  0.000  0.000  -0.20
La  0.000  0.000  0.000  -0.09

No. 3
First-principles (PBE-GGA) data for La2NbSbN5 after structural relaxation, as listed in the Alexandria database.

## Properties
E   -8.02 eV/atom
E_form (uncorrected)   -6.51 eV/f.u.

Cell lengths 3.430, 7.244, 10.900 Å; angles 90.00, 90.00, 103.69 degrees
Positions (direct):
La  0.854  0.708  0.784
La  0.112  0.224  0.697
La  0.146  0.292  0.284
La  0.888  0.776  0.197
Nb  0.771  0.542  0.512
Nb  0.229  0.458  0.012
Sb  0.534  0.068  0.959
Sb  0.466  0.932  0.459
N  0.364  0.729  0.003
N  0.685  0.370  0.884
N  0.491  0.982  0.784
N  0.279  0.558  0.642
N  0.945  0.891  0.559
N  0.636  0.271  0.503
N  0.315  0.630  0.384
N  0.509  0.018  0.284
N  0.721  0.442  0.142
N  0.055  0.109  0.059

No. 4
First-principles (PBE-GGA) data for LaScNbN3 after structural relaxation, as listed in the Alexandria database.

## Properties
E   -9.08 eV/atom
E_form (uncorrected)   -8.20 eV/f.u.

Cell lengths 3.376, 5.817, 8.493 Å; angles 103.35, 90.00, 90.00 degrees
Positions (direct):
La  0.750  0.648  0.696
La  0.250  0.352  0.304
Sc  0.250  0.770  0.044
Sc  0.750  0.230  0.956
Nb  0.250  0.130  0.643
Nb  0.750  0.870  0.357
N  0.250  0.767  0.479
N  0.750  0.033  0.155
N  0.750  0.564  0.162
N  0.750  0.233  0.521
N  0.250  0.436  0.838
N  0.250  0.967  0.845

No. 5
First-principles (PBE-GGA) data for La3Nb2Se2N5 after structural relaxation, as listed in the Alexandria database.

## Properties
E   -8.39 eV/atom
E_form (uncorrected)   -17.18 eV/f.u.

Cell lengths 4.144, 4.144, 12.386 Å; angles 99.63, 99.63, 90.00 degrees
Positions (direct):
La  0.160  0.160  0.321
La  0.840  0.840  0.679
La  0.000  0.000  0.000
Nb  0.418  0.418  0.836
Nb  0.582  0.582  0.164
Se  0.703  0.703  0.406
Se  0.297  0.297  0.594
N  0.590  0.090  0.180
N  0.410  0.910  0.820
N  0.090  0.590  0.180
N  0.910  0.410  0.820
N  0.500  0.500  0.000

No. 6
First-principles (PBE-GGA) data for LaSmNbN3 after structural relaxation, as listed in the Alexandria database.

## Properties
E   -8.76 eV/atom
E_form (uncorrected)   -7.84 eV/f.u.

Cell lengths 3.495, 5.991, 8.813 Å; angles 102.80, 90.00, 90.00 degrees
Positions (direct):
La  0.750  0.642  0.686
La  0.250  0.358  0.314
Sm  0.250  0.768  0.047
Sm  0.750  0.232  0.953
Nb  0.250  0.128  0.635
Nb  0.750  0.872  0.365
N  0.250  0.774  0.473
N  0.750  0.044  0.179
N  0.750  0.569  0.182
N  0.750  0.226  0.527
N  0.250  0.431  0.818
N  0.250  0.956  0.821

No. 7
First-principles (PBE-GGA) data for LaSm2NbN4 after structural relaxation, as listed in the Alexandria database.

## Properties
E   -8.41 eV/atom
E_form (uncorrected)   -9.55 eV/f.u.

Cell lengths 3.495, 6.382, 12.413 Å; angles 90.00, 90.00, 105.89 degrees
Positions (direct):
La  0.091  0.182  0.750
La  0.909  0.818  0.250
Sm  0.371  0.741  0.537
Sm  0.629  0.259  0.037
Sm  0.629  0.259  0.463
Sm  0.371  0.741  0.963
Nb  0.831  0.663  0.750
Nb  0.169  0.337  0.250
N  0.263  0.527  0.124
N  0.737  0.473  0.624
N  0.737  0.473  0.876
N  0.263  0.527  0.376
N  0.000  0.000  0.500
N  0.000  0.000  0.000
N  0.436  0.871  0.750
N  0.564  0.129  0.250

No. 8
First-principles (PBE-GGA) data for La2NbSnN5 after structural relaxation, as listed in the Alexandria database.

## Properties
E   -8.11 eV/atom
E_form (uncorrected)   -7.48 eV/f.u.

Cell lengths 3.379, 7.330, 10.868 Å; angles 90.00, 90.00, 103.33 degrees
Positions (direct):
La  0.864  0.728  0.779
La  0.115  0.229  0.703
La  0.136  0.272  0.279
La  0.885  0.771  0.203
Nb  0.772  0.544  0.503
Nb  0.228  0.456  0.003
Sn  0.521  0.042  0.970
Sn  0.479  0.958  0.470
N  0.364  0.729  0.002
N  0.700  0.400  0.885
N  0.499  0.998  0.782
N  0.279  0.558  0.641
N  0.937  0.875  0.559
N  0.636  0.271  0.502
N  0.300  0.600  0.385
N  0.501  0.002  0.282
N  0.721  0.442  0.141
N  0.063  0.125  0.059

No. 9
First-principles (PBE-GGA) data for Sr2La3NbN6 after structural relaxation, as listed in the Alexandria database.

## Properties
E   -7.58 eV/atom
E_form (uncorrected)   -12.81 eV/f.u.

Cell lengths 6.379, 6.379, 6.136 Å; angles 99.53, 99.53, 120.55 degrees
Positions (direct):
Sr  0.332  0.668  0.000
Sr  0.668  0.332  0.000
La  0.159  0.841  0.500
La  0.841  0.159  0.500
La  0.500  0.500  0.500
Nb  0.000  0.000  0.000
N  0.923  0.648  0.769
N  0.791  0.791  0.245
N  0.077  0.352  0.231
N  0.648  0.923  0.769
N  0.209  0.209  0.755
N  0.352  0.077  0.231

No. 10
First-principles (PBE-GGA) data for SrLaNbN3 after structural relaxation, as listed in the Alexandria database.

## Properties
E   -7.96 eV/atom
E_form (uncorrected)   -6.11 eV/f.u.

Cell lengths 4.003, 7.289, 7.388 Å; angles 104.42, 90.00, 105.94 degrees
Positions (direct):
Sr  0.338  0.677  0.916
Sr  0.662  0.323  0.084
La  0.648  0.297  0.570
La  0.352  0.703  0.430
Nb  0.000  0.001  0.222
Nb  0.000  0.999  0.778
N  0.852  0.703  0.187
N  0.844  0.688  0.655
N  0.503  0.006  0.281
N  0.156  0.312  0.345
N  0.497  0.994  0.719
N  0.148  0.297  0.813

No. 11
First-principles (PBE-GGA) data for LaTb2NbN4 after structural relaxation, as listed in the Alexandria database.

## Properties
E   -8.47 eV/atom
E_form (uncorrected)   -10.19 eV/f.u.

Cell lengths 3.456, 6.308, 12.219 Å; angles 90.00, 90.00, 105.90 degrees
Positions (direct):
La  0.092  0.183  0.750
La  0.908  0.817  0.250
Tb  0.371  0.742  0.536
Tb  0.629  0.258  0.036
Tb  0.629  0.258  0.464
Tb  0.371  0.742  0.964
Nb  0.832  0.664  0.750
Nb  0.168  0.336  0.250
N  0.261  0.523  0.120
N  0.739  0.477  0.620
N  0.739  0.477  0.880
N  0.261  0.523  0.380
N  0.000  0.000  0.500
N  0.000  0.000  0.000
N  0.437  0.875  0.750
N  0.563  0.125  0.250

No. 12
First-principles (PBE-GGA) data for La3Tb2NbN6 after structural relaxation, as listed in the Alexandria database.

## Properties
E   -8.38 eV/atom
E_form (uncorrected)   -16.47 eV/f.u.

Cell lengths 6.063, 6.063, 6.189 Å; angles 99.38, 99.38, 119.94 degrees
Positions (direct):
La  0.166  0.834  0.500
La  0.834  0.166  0.500
La  0.500  0.500  0.500
Tb  0.333  0.667  0.000
Tb  0.667  0.333  0.000
Nb  0.000  0.000  0.000
N  0.928  0.622  0.784
N  0.766  0.766  0.222
N  0.072  0.378  0.216
N  0.622  0.928  0.784
N  0.234  0.234  0.778
N  0.378  0.072  0.216

No. 13
First-principles (PBE-GGA) data for La2NbTcN5 after structural relaxation, as listed in the Alexandria database.

## Properties
E   -8.92 eV/atom
E_form (uncorrected)   -8.35 eV/f.u.

Cell lengths 3.375, 7.022, 10.741 Å; angles 90.00, 90.00, 103.90 degrees
Positions (direct):
La  0.855  0.710  0.798
La  0.110  0.221  0.696
La  0.145  0.290  0.298
La  0.890  0.779  0.196
Nb  0.780  0.560  0.513
Nb  0.220  0.440  0.013
Tc  0.527  0.053  0.961
Tc  0.473  0.947  0.461
N  0.362  0.724  0.999
N  0.679  0.358  0.884
N  0.491  0.981  0.789
N  0.283  0.567  0.644
N  0.956  0.911  0.540
N  0.638  0.276  0.499
N  0.321  0.642  0.384
N  0.509  0.019  0.289
N  0.717  0.433  0.144
N  0.044  0.089  0.040

No. 14
First-principles (PBE-GGA) data for LaNbTeN2 after structural relaxation, as listed in the Alexandria database.

## Properties
E   -5.67 eV/atom
E above lowest polymorph   1.621 eV per atom
E_form (uncorrected)   6.45 eV/f.u.

Cell lengths 4.361, 5.159, 4.361 Å; angles 90.00, 90.00, 90.00 degrees
Positions (direct):
N  0.000  0.000  0.500
N  0.500  0.000  0.000
Nb  0.000  0.500  0.000
Te  0.000  0.000  0.000
La  0.500  0.500  0.500

No. 15
First-principles (PBE-GGA) data for LaNbTeN2 after structural relaxation, as listed in the Alexandria database.

## Properties
E   -5.97 eV/atom
E above lowest polymorph   1.318 eV per atom
E_form (uncorrected)   4.93 eV/f.u.

Cell lengths 4.270, 4.270, 6.558 Å; angles 90.00, 90.00, 90.00 degrees
Last column: magnetic moment on the atom in μB.
Positions (direct):
N  0.000  0.500  0.000  -0.10
N  0.500  0.000  0.000  -0.10
Nb  0.500  0.500  0.500  2.27
Te  0.000  0.000  0.500  -0.10
La  0.000  0.000  0.000  -0.02

No. 16
First-principles (PBE-GGA) data for LaNbTeN2 after structural relaxation, as listed in the Alexandria database.

## Properties
E   -7.29 eV/atom
E above lowest polymorph   0.000 eV per atom
E_form (uncorrected)   -1.66 eV/f.u.

Cell lengths 4.266, 4.266, 5.473 Å; angles 90.00, 90.00, 90.00 degrees
Positions (direct):
N  0.000  0.500  0.000
N  0.500  0.000  0.000
Nb  0.000  0.000  0.000
Te  0.000  0.000  0.500
La  0.500  0.500  0.500

No. 17
First-principles (PBE-GGA) data for La3Th2NbN6 after structural relaxation, as listed in the Alexandria database.

## Properties
E   -8.83 eV/atom
E_form (uncorrected)   -16.28 eV/f.u.

Cell lengths 6.187, 6.187, 6.279 Å; angles 99.37, 99.37, 119.93 degrees
Positions (direct):
La  0.163  0.837  0.500
La  0.837  0.163  0.500
La  0.500  0.500  0.500
Th  0.333  0.667  0.000
Th  0.667  0.333  0.000
Nb  0.000  0.000  0.000
N  0.931  0.624  0.791
N  0.764  0.764  0.218
N  0.069  0.376  0.209
N  0.624  0.931  0.791
N  0.236  0.236  0.782
N  0.376  0.069  0.209

No. 18
First-principles (PBE-GGA) data for La3Th3NbN8 after structural relaxation, as listed in the Alexandria database.

## Properties
E   -8.93 eV/atom
E_form (uncorrected)   -20.29 eV/f.u.

Cell lengths 7.156, 7.156, 7.261 Å; angles 119.52, 90.00, 120.00 degrees
Positions (direct):
La  0.000  0.000  0.000
La  0.000  0.500  0.000
La  0.500  0.500  0.000
Th  0.500  0.000  0.500
Th  0.500  0.500  0.500
Th  0.000  0.500  0.500
Nb  0.000  0.000  0.500
N  0.256  0.512  0.268
N  0.744  0.488  0.732
N  0.785  0.570  0.298
N  0.215  0.430  0.702
N  0.785  0.013  0.298
N  0.215  0.987  0.702
N  0.228  0.013  0.298
N  0.772  0.987  0.702

No. 19
First-principles (PBE-GGA) data for LaThNbN4 after structural relaxation, as listed in the Alexandria database.

## Properties
E   -9.27 eV/atom
E_form (uncorrected)   -9.18 eV/f.u.

Cell lengths 4.016, 4.016, 7.067 Å; angles 106.51, 106.51, 90.00 degrees
Positions (direct):
La  0.654  0.654  0.308
Th  0.364  0.364  0.728
Nb  0.013  0.013  0.026
N  0.986  0.486  0.973
N  0.486  0.986  0.973
N  0.825  0.825  0.650
N  0.171  0.171  0.343

No. 20
First-principles (PBE-GGA) data for La4Th3NbN8 after structural relaxation, as listed in the Alexandria database.

## Properties
E   -8.79 eV/atom
E_form (uncorrected)   -22.07 eV/f.u.

Cell lengths 7.207, 7.278, 7.207 Å; angles 119.68, 120.00, 90.00 degrees
Positions (direct):
La  0.500  0.000  0.000
La  0.500  0.000  0.500
La  0.000  0.000  0.000
La  0.000  0.000  0.500
Th  0.500  0.500  0.000
Th  0.500  0.500  0.500
Th  0.000  0.500  0.500
Nb  0.000  0.500  0.000
N  0.223  0.711  0.989
N  0.223  0.711  0.445
N  0.258  0.274  0.516
N  0.766  0.711  0.989
N  0.234  0.289  0.011
N  0.742  0.726  0.484
N  0.777  0.289  0.555
N  0.777  0.289  0.011

No. 21
First-principles (PBE-GGA) data for LaTmNbN3 after structural relaxation, as listed in the Alexandria database.

## Properties
E   -8.54 eV/atom
E_form (uncorrected)   -6.81 eV/f.u.

Cell lengths 3.372, 6.845, 9.293 Å; angles 95.93, 90.00, 90.00 degrees
Positions (direct):
La  0.750  0.816  0.773
La  0.250  0.184  0.227
Tm  0.250  0.646  0.119
Tm  0.750  0.354  0.881
Nb  0.250  0.136  0.579
Nb  0.750  0.864  0.421
N  0.250  0.815  0.546
N  0.750  0.864  0.203
N  0.750  0.395  0.121
N  0.750  0.185  0.454
N  0.250  0.605  0.879
N  0.250  0.136  0.797